Record 1
NdFeGe3Os: optimized geometry, PBE.

## Properties
The value obtained for the formation energy is -0.125 eV/atom. For the density of states at the Fermi level, the calculation gives 0.5114 states/eV/atom.

abc: 7.595 11.020 5.714
angles: 90.00 90.00 90.00
Space group Cmcm (No. 63)
Inequivalent atoms, fractional coordinates:
Nd: 0.000 0.249 0.250
Fe: 0.000 0.456 0.750
Ge: 0.000 0.258 0.750
Ge: 0.238 0.500 0.000
Os: 0.000 0.047 0.750



Record 2
NdFeGe2Os: optimized geometry, PBE.

## Properties
The value obtained for the formation energy is -0.412 eV/atom. For the density of states at the Fermi level, the calculation gives 0.9868 states/eV/atom.

abc: 4.115 4.115 10.581
angles: 90.00 90.00 90.00
Space group I-4m2 (No. 119)
Inequivalent atoms, fractional coordinates:
Nd: 0.000 0.000 0.000
Fe: 0.000 0.500 0.250
Ge: 0.000 0.000 0.374
Os: 0.000 0.500 0.750



Record 3
Nd2FeGe4Pt3: optimized geometry, PBE.

## Properties
The value obtained for the formation energy is -0.802 eV/atom. For the density of states at the Fermi level, the calculation gives 0.4362 states/eV/atom.

abc: 4.242 4.242 10.413
angles: 90.00 90.00 90.00
Space group P-4m2 (No. 115)
Inequivalent atoms, fractional coordinates:
Nd: 0.000 0.500 0.248
Fe: 0.500 0.500 0.000
Ge: 0.000 0.000 0.500
Ge: 0.000 0.500 0.875
Ge: 0.500 0.500 0.500
Pt: 0.000 0.000 0.000
Pt: 0.000 0.500 0.635



Record 4
NdFeGe3Rh: optimized geometry, PBE.

## Properties
The value obtained for the formation energy is -0.323 eV/atom. For the density of states at the Fermi level, the calculation gives 0.4550 states/eV/atom.

abc: 7.300 11.276 5.832
angles: 90.00 90.00 90.00
Space group Cmcm (No. 63)
Inequivalent atoms, fractional coordinates:
Nd: 0.000 0.247 0.250
Fe: 0.000 0.045 0.750
Ge: 0.000 0.240 0.750
Ge: 0.242 0.000 0.000
Rh: 0.000 0.445 0.750



Record 5
NdFeGe3Ru: optimized geometry, PBE.

## Properties
The value obtained for the formation energy is -0.239 eV/atom. For the density of states at the Fermi level, the calculation gives 0.5917 states/eV/atom.

abc: 7.477 11.017 5.769
angles: 90.00 90.00 90.00
Space group Cmcm (No. 63)
Inequivalent atoms, fractional coordinates:
Nd: 0.000 0.248 0.250
Fe: 0.000 0.043 0.750
Ge: 0.000 0.241 0.750
Ge: 0.241 0.000 0.000
Ru: 0.000 0.451 0.750



Record 6
NdFeGe2Ru: optimized geometry, PBE.

## Properties
The value obtained for the formation energy is -0.531 eV/atom. For the density of states at the Fermi level, the calculation gives 1.1042 states/eV/atom.

abc: 4.145 4.145 10.382
angles: 90.00 90.00 90.00
Space group I-4m2 (No. 119)
Inequivalent atoms, fractional coordinates:
Nd: 0.000 0.000 0.000
Fe: 0.000 0.500 0.750
Ge: 0.000 0.000 0.371
Ru: 0.000 0.500 0.250



Record 7
NdFeTcGe2: optimized geometry, PBE.

## Properties
The value obtained for the formation energy is -0.438 eV/atom. For the density of states at the Fermi level, the calculation gives 0.9133 states/eV/atom.

abc: 4.088 4.088 10.894
angles: 90.00 90.00 90.00
Space group I-4m2 (No. 119)
Inequivalent atoms, fractional coordinates:
Nd: 0.000 0.000 0.000
Fe: 0.000 0.500 0.750
Tc: 0.000 0.500 0.250
Ge: 0.000 0.000 0.377



Record 8
NdFeTcGe3: optimized geometry, PBE.

## Properties
The value obtained for the formation energy is -0.202 eV/atom. For the density of states at the Fermi level, the calculation gives 0.5458 states/eV/atom.

abc: 7.573 10.961 5.767
angles: 90.00 90.00 90.00
Space group Cmcm (No. 63)
Inequivalent atoms, fractional coordinates:
Nd: 0.000 0.242 0.250
Fe: 0.000 0.037 0.750
Tc: 0.000 0.450 0.750
Ge: 0.000 0.238 0.750
Ge: 0.241 0.000 0.000